Entry 1:
DFT (PBE-GGA) results for Sr3InPb2 after structural relaxation.

The structure in CIF format:
```
data_Sr3InPb2
_chemical_formula_sum 'Sr12 In4 Pb8'
_space_group_name_H-M_alt 'P n m a'
_space_group_IT_number 62
_space_group_name_Hall '-P 2ac 2n'
_cell_length_a 13.4959
_cell_length_b 4.9830
_cell_length_c 13.3343
_cell_angle_alpha 90.00
_cell_angle_beta 90.00
_cell_angle_gamma 90.00
loop_
_atom_site_label
_atom_site_type_symbol
_atom_site_fract_x
_atom_site_fract_y
_atom_site_fract_z
_atom_site_occupancy
Sr1 Sr 0.0590 0.2500 0.1150 1
Sr2 Sr 0.1260 0.7500 0.5587 1
Sr3 Sr 0.2037 0.2500 0.8076 1
In1 In 0.1384 0.2500 0.3555 1
Pb1 Pb 0.0170 0.7500 0.3135 1
Pb2 Pb 0.1939 0.7500 0.0060 1
```

Summary:
Its total energy is -3.005 eV/atom. The calculation puts the size of the total moment at 0.00 μB/cell.

Entry 2:
DFT (PBE-GGA) results for Nd3Dy6Er2Pb after structural relaxation.

The structure in CIF format:
```
data_Nd3Dy6Er2Pb
_chemical_formula_sum 'Nd6 Dy12 Er4 Pb2'
_space_group_name_H-M_alt 'C 1 2/m 1'
_space_group_IT_number 12
_space_group_name_Hall '-C 2y'
_cell_length_a 6.1629
_cell_length_b 10.6766
_cell_length_c 11.6680
_cell_angle_alpha 90.00
_cell_angle_beta 100.23
_cell_angle_gamma 90.00
loop_
_atom_site_label
_atom_site_type_symbol
_atom_site_fract_x
_atom_site_fract_y
_atom_site_fract_z
_atom_site_occupancy
Nd1 Nd 0.0000 0.0000 0.0000 1
Nd2 Nd 0.0000 0.3321 0.0000 1
Dy1 Dy 0.2440 0.3361 0.7433 1
Dy2 Dy 0.2477 0.5000 0.2548 1
Er1 Er 0.0000 0.1655 0.5000 1
Pb1 Pb 0.0000 0.5000 0.5000 1
```

Summary:
Its total energy is -4.606 eV/atom. The calculation puts the size of the total moment at 0.05 μB/cell.

Entry 3:
DFT (PBE-GGA) results for NdPuPaGa after structural relaxation.

The structure in CIF format:
```
data_NdPuPaGa
_chemical_formula_sum 'Nd4 Pu4 Pa4 Ga4'
_space_group_name_H-M_alt 'F -4 3 m'
_space_group_IT_number 216
_space_group_name_Hall 'F -4 2 3'
_cell_length_a 7.3196
_cell_length_b 7.3196
_cell_length_c 7.3196
_cell_angle_alpha 90.00
_cell_angle_beta 90.00
_cell_angle_gamma 90.00
loop_
_atom_site_label
_atom_site_type_symbol
_atom_site_fract_x
_atom_site_fract_y
_atom_site_fract_z
_atom_site_occupancy
Nd1 Nd 0.0000 0.0000 0.0000 1
Pu1 Pu 0.0000 0.0000 0.5000 1
Pa1 Pa 0.2500 0.2500 0.2500 1
Ga1 Ga 0.2500 0.2500 0.7500 1
```

Summary:
Its total energy is -7.806 eV/atom. The calculation puts the size of the total moment at 28.12 μB/cell.